Record 1
{"formula": "LaTc2Ni", "functional": "PBE", "state": "optimized geometry", "dos_ef_per_ev_atom": 1.21, "relative_energy_ev_per_fu": 1.40, "spacegroup": "No. 47", "e_form_ev_per_atom": 0.4063, "rho_g_cm3": 9.32, "cell": [[3.229, 0.000, 0.000], [0.000, 4.372, 0.000], [0.000, 0.000, 4.970]], "species": ["La", "Tc", "Tc", "Ni"], "frac_coords": [[0.000, 0.000, 0.000], [0.000, 0.500, 0.500], [0.500, 0.000, 0.500], [0.500, 0.500, 0.000]]}

Record 2
{"formula": "Sr2PuSi3Pt4", "functional": "PBE", "state": "optimized geometry", "e_form_raw_ev_per_atom": -0.8416, "dos_ef_per_ev_atom": 0.99, "spacegroup": "No. 115", "rho_g_cm3": 10.40, "cell": [[4.368, 0.000, 0.000], [0.000, 4.368, 0.000], [0.000, 0.000, 10.742]], "species": ["Sr", "Sr", "Pu", "Si", "Si", "Si", "Pt", "Pt", "Pt", "Pt"], "frac_coords": [[0.000, 0.500, 0.234], [0.500, 0.000, 0.766], [0.000, 0.000, 0.500], [0.000, 0.500, 0.888], [0.500, 0.000, 0.112], [0.500, 0.500, 0.500], [0.000, 0.000, 0.000], [0.000, 0.500, 0.664], [0.500, 0.000, 0.336], [0.500, 0.500, 0.000]]}